[1]
LiTlPd3 | PBE-GGA | optimized geometry

The space group is Pm-3m. The value obtained for the energy above the most stable polymorph in this dataset is 266 meV/atom.

a b c (Å): 4.3637 4.3637 4.3637
angles (deg): 90.00 90.00 90.00
Closest atoms and distances in Å follow each position.
Sites, in units of the cell vectors:
Li (0.0000, 0.0000, 0.0000)  6 Pd 2.18
Tl (0.5000, 0.5000, 0.5000)  12 Pd 3.09
Pd (0.0000, 0.0000, 0.5000)  2 Li 2.18
Pd (0.0000, 0.5000, 0.0000)  2 Li 2.18
Pd (0.5000, 0.0000, 0.0000)  2 Li 2.18

[2]
Li6TlPd5 | PBE-GGA | optimized geometry

The space group is C2/m. The value obtained for the energy above the most stable polymorph in this dataset is 7 meV/atom.

a b c (Å): 6.8543 6.8543 6.0035
angles (deg): 90.10 90.10 142.97
Closest atoms and distances in Å follow each position.
Sites, in units of the cell vectors:
Li (0.9997, 0.9997, 0.2290)  6 Pd 2.54-2.67, 2 Tl 2.71-2.72, 1 Li 2.75
Li (0.0003, 0.0003, 0.7710)  6 Pd 2.54-2.67, 2 Tl 2.71-2.72, 1 Li 2.75
Li (0.3253, 0.6755, 0.2401)  7 Pd 2.54-2.69, 1 Tl 2.76
Li (0.3245, 0.6747, 0.7599)  7 Pd 2.54-2.69, 1 Tl 2.76
Li (0.6755, 0.3253, 0.2401)  7 Pd 2.54-2.69, 1 Tl 2.76
Li (0.6747, 0.3245, 0.7599)  7 Pd 2.54-2.69, 1 Tl 2.76
Tl (0.5000, 0.5000, 0.5000)  8 Li 2.71-2.76, 2 Pd 3.00
Pd (0.1631, 0.8369, 0.5000)  8 Li 2.62-2.69
Pd (0.1640, 0.8360, 0.0000)  8 Li 2.54-2.62
Pd (0.5000, 0.5000, 0.0000)  8 Li 2.57-2.69
Pd (0.8360, 0.1640, 0.0000)  8 Li 2.54-2.62
Pd (0.8369, 0.1631, 0.5000)  8 Li 2.62-2.69

[3]
Li6TlPd12 | PBE-GGA | optimized geometry

The space group is R-3.

a b c (Å): 7.1906 7.1906 7.1906
angles (deg): 107.41 107.41 107.41
Closest atoms and distances in Å follow each position.
Sites, in units of the cell vectors:
Li (0.0324, 0.4170, 0.2990)  8 Pd 2.58-2.87
Li (0.2990, 0.0324, 0.4170)  8 Pd 2.58-2.87
Li (0.4170, 0.2990, 0.0324)  8 Pd 2.58-2.87
Li (0.5830, 0.7010, 0.9676)  8 Pd 2.58-2.87
Li (0.7010, 0.9676, 0.5830)  8 Pd 2.58-2.87
Li (0.9676, 0.5830, 0.7010)  8 Pd 2.58-2.87
Tl (0.5000, 0.5000, 0.5000)  6 Pd 2.71, 6 Li 3.02
Pd (0.0087, 0.3116, 0.9082)  4 Li 2.58-2.84, 6 Pd 2.66-2.76
Pd (0.0918, 0.9913, 0.6884)  4 Li 2.58-2.84, 6 Pd 2.66-2.76
Pd (0.2213, 0.3780, 0.6707)  4 Li 2.61-2.87, 5 Pd 2.66-2.91, 1 Tl 2.71
Pd (0.3116, 0.9082, 0.0087)  4 Li 2.58-2.84, 6 Pd 2.66-2.76
Pd (0.3293, 0.7787, 0.6220)  4 Li 2.61-2.87, 5 Pd 2.66-2.91, 1 Tl 2.71
Pd (0.3780, 0.6707, 0.2213)  4 Li 2.61-2.87, 5 Pd 2.66-2.91, 1 Tl 2.71
Pd (0.6220, 0.3293, 0.7787)  4 Li 2.61-2.87, 5 Pd 2.66-2.91, 1 Tl 2.71
Pd (0.6707, 0.2213, 0.3780)  4 Li 2.61-2.87, 5 Pd 2.66-2.91, 1 Tl 2.71
Pd (0.6884, 0.0918, 0.9913)  4 Li 2.58-2.84, 6 Pd 2.66-2.76
Pd (0.7787, 0.6220, 0.3293)  4 Li 2.61-2.87, 5 Pd 2.66-2.91, 1 Tl 2.71
Pd (0.9082, 0.0087, 0.3116)  4 Li 2.58-2.84, 6 Pd 2.66-2.76
Pd (0.9913, 0.6884, 0.0918)  4 Li 2.58-2.84, 6 Pd 2.66-2.76

[4]
Li6TlPd3 | PBE-GGA | optimized geometry

The space group is Cmc2_1. The value obtained for the energy above the most stable polymorph in this dataset is 44 meV/atom.

a b c (Å): 8.9527 8.9527 4.9434
angles (deg): 90.00 90.00 126.24
Closest atoms and distances in Å follow each position.
Sites, in units of the cell vectors:
Li (0.0015, 0.9985, 0.5000)  2 Li 2.47, 4 Pd 2.67
Li (0.1004, 0.5443, 0.0564)  3 Pd 2.56-2.71, 1 Li 2.74, 1 Tl 2.85
Li (0.2679, 0.3556, 0.2982)  4 Pd 2.59-2.82, 4 Li 2.81-2.84
Li (0.3219, 0.6781, 0.5070)  1 Pd 2.41
Li (0.3556, 0.2679, 0.7982)  4 Pd 2.59-2.82, 4 Li 2.81-2.84
Li (0.4557, 0.8996, 0.0564)  3 Pd 2.56-2.71, 1 Li 2.74, 1 Tl 2.85
Li (0.5443, 0.1004, 0.5564)  3 Pd 2.56-2.71, 1 Li 2.74, 1 Tl 2.85
Li (0.6444, 0.7321, 0.2982)  4 Pd 2.59-2.82, 4 Li 2.81-2.84
Li (0.6781, 0.3219, 0.0070)  1 Pd 2.41
Li (0.7321, 0.6444, 0.7982)  4 Pd 2.59-2.82, 4 Li 2.81-2.84
Li (0.8996, 0.4557, 0.5564)  3 Pd 2.56-2.71, 1 Li 2.74, 1 Tl 2.85
Li (0.9985, 0.0015, 0.0000)  2 Li 2.47, 4 Pd 2.67
Tl (0.1596, 0.8404, 0.7399)  7 Li 2.79-2.94, 4 Pd 2.92-2.94
Tl (0.8404, 0.1596, 0.2399)  7 Li 2.79-2.94, 4 Pd 2.92-2.94
Pd (0.0584, 0.2946, 0.7417)  6 Li 2.56-2.82, 2 Pd 2.77-2.86
Pd (0.2946, 0.0584, 0.2417)  6 Li 2.56-2.82, 2 Pd 2.77-2.86
Pd (0.4115, 0.5885, 0.8987)  7 Li 2.41-2.69
Pd (0.5885, 0.4115, 0.3987)  7 Li 2.41-2.69
Pd (0.7054, 0.9416, 0.7417)  6 Li 2.56-2.82, 2 Pd 2.77-2.86
Pd (0.9416, 0.7054, 0.2417)  6 Li 2.56-2.82, 2 Pd 2.77-2.86

[5]
LiTl2Pd | PBE-GGA | optimized geometry

The space group is Fm-3m.

a b c (Å): 4.8462 4.8462 4.8462
angles (deg): 60.00 60.00 60.00
Closest atoms and distances in Å follow each position.
Sites, in units of the cell vectors:
Li (0.0000, 0.0000, 0.0000)  8 Tl 2.97
Tl (0.2500, 0.2500, 0.2500)  4 Li 2.97, 4 Pd 2.97
Tl (0.7500, 0.7500, 0.7500)  4 Li 2.97, 4 Pd 2.97
Pd (0.5000, 0.5000, 0.5000)  8 Tl 2.97

[6]
Li5TlPd | PBE-GGA | optimized geometry

The space group is P4/mmm. The value obtained for the energy above the most stable polymorph in this dataset is 0 meV/atom.

a b c (Å): 3.9826 3.9826 7.8913
angles (deg): 90.00 90.00 90.00
Closest atoms and distances in Å follow each position.
Sites, in units of the cell vectors:
Li (0.0000, 0.0000, 0.0000)  8 Li 2.74, 4 Pd 2.82
Li (0.0000, 0.5000, 0.2392)  6 Li 2.74-2.82, 2 Pd 2.74, 2 Tl 2.86
Li (0.0000, 0.5000, 0.7608)  6 Li 2.74-2.82, 2 Pd 2.74, 2 Tl 2.86
Li (0.5000, 0.0000, 0.2392)  6 Li 2.74-2.82, 2 Pd 2.74, 2 Tl 2.86
Li (0.5000, 0.0000, 0.7608)  6 Li 2.74-2.82, 2 Pd 2.74, 2 Tl 2.86
Tl (0.0000, 0.0000, 0.5000)  8 Li 2.86
Pd (0.5000, 0.5000, 0.0000)  12 Li 2.74-2.82

[7]
Li5TlPd4 | PBE-GGA | optimized geometry

The space group is P4/mmm. The value obtained for the energy above the most stable polymorph in this dataset is 7 meV/atom.

a b c (Å): 3.1307 3.1307 14.9238
angles (deg): 90.00 90.00 90.00
Closest atoms and distances in Å follow each position.
Sites, in units of the cell vectors:
Li (0.0000, 0.0000, 0.0000)  8 Pd 2.64, 2 Li 2.82
Li (0.0000, 0.0000, 0.1888)  8 Pd 2.61-2.66, 2 Li 2.78-2.82
Li (0.0000, 0.0000, 0.3754)  4 Pd 2.57, 1 Li 2.78
Li (0.0000, 0.0000, 0.6246)  4 Pd 2.57, 1 Li 2.78
Li (0.0000, 0.0000, 0.8112)  8 Pd 2.61-2.66, 2 Li 2.78-2.82
Tl (0.5000, 0.5000, 0.5000)  8 Li 2.89, 4 Tl 3.13, 2 Pd 3.17
Pd (0.5000, 0.5000, 0.0959)  8 Li 2.61-2.64, 2 Pd 2.86
Pd (0.5000, 0.5000, 0.2878)  8 Li 2.57-2.66, 1 Pd 2.86
Pd (0.5000, 0.5000, 0.7122)  8 Li 2.57-2.66, 1 Pd 2.86
Pd (0.5000, 0.5000, 0.9041)  8 Li 2.61-2.64, 2 Pd 2.86

[8]
Li3TlPd6 | PBE-GGA | optimized geometry

The space group is P2_1/m. The value obtained for the energy above the most stable polymorph in this dataset is 0 meV/atom.

a b c (Å): 7.7005 4.3384 9.2975
angles (deg): 90.00 103.46 90.00
Closest atoms and distances in Å follow each position.
Sites, in units of the cell vectors:
Li (0.0412, 0.2500, 0.3993)  8 Pd 2.55-2.70
Li (0.1482, 0.7500, 0.1788)  8 Pd 2.56-2.69
Li (0.2517, 0.2500, 0.9811)  8 Pd 2.60-2.73
Li (0.7483, 0.7500, 0.0189)  8 Pd 2.60-2.73
Li (0.8518, 0.2500, 0.8212)  8 Pd 2.56-2.69
Li (0.9588, 0.7500, 0.6007)  8 Pd 2.55-2.70
Tl (0.4367, 0.2500, 0.6151)  10 Pd 2.73-3.03
Tl (0.5633, 0.7500, 0.3849)  10 Pd 2.73-3.03
Pd (0.0381, 0.7500, 0.8963)  7 Li 2.57-2.73, 1 Pd 2.73
Pd (0.1159, 0.2500, 0.6980)  5 Li 2.55-2.70, 1 Tl 2.75, 3 Pd 2.78-2.81
Pd (0.2351, 0.7500, 0.4766)  4 Li 2.64-2.69, 3 Tl 2.80-2.85, 2 Pd 2.81-2.85
Pd (0.3238, 0.2500, 0.2808)  4 Li 2.61-2.71, 2 Pd 2.81-2.89, 2 Tl 2.87
Pd (0.3408, 0.7500, 0.7909)  8 Pd 2.66-2.85, 2 Tl 2.91, 2 Li 2.98
Pd (0.4355, 0.7500, 0.0854)  4 Li 2.56-2.65, 3 Pd 2.66-2.84, 1 Tl 2.73
Pd (0.5645, 0.2500, 0.9146)  4 Li 2.56-2.65, 3 Pd 2.66-2.84, 1 Tl 2.73
Pd (0.6592, 0.2500, 0.2091)  8 Pd 2.66-2.85, 2 Tl 2.91, 2 Li 2.98
Pd (0.6762, 0.7500, 0.7192)  4 Li 2.61-2.71, 2 Pd 2.81-2.89, 2 Tl 2.87
Pd (0.7649, 0.2500, 0.5234)  4 Li 2.64-2.69, 3 Tl 2.80-2.85, 2 Pd 2.81-2.85
Pd (0.8841, 0.7500, 0.3020)  5 Li 2.55-2.70, 1 Tl 2.75, 3 Pd 2.78-2.81
Pd (0.9619, 0.2500, 0.1037)  7 Li 2.57-2.73, 1 Pd 2.73

| no. | formation enthalpy at 0 K (eV/atom) |
| --- | --- |
| 1 | 0.054 |
| 2 | -0.406 |
| 3 | -0.196 |
| 4 | -0.298 |
| 5 | -0.238 |
| 6 | -0.199 |
| 7 | -0.376 |
| 8 | -0.313 |